Density functional theory data (PBE-GGA) for a relaxed structure of Li3MgIn.

For the formation energy, the calculation gives -0.123 eV per atom. Its volume is 20.31 Å³/atom. The density of states at the Fermi level is 1.51 states/eV per cell. As for the symmetry: R3m, No. 160. Its spin magnetization is 0.0 μB/f.u. The polymorph energy (0 for the lowest one) is 20.4 meV per atom.

Lattice parameters (Å, degrees): 5.0027 5.0027 5.0027 66.84 66.84 66.84
Last column: nearest neighbours and their distance in Å.
Atoms (fractional coordinates):
Li 0.8304 0.3220 0.3220  4 Li 2.71-2.80, 1 In 2.87, 1 Mg 2.90
Li 0.3220 0.8304 0.3220  4 Li 2.71-2.80, 1 In 2.87, 1 Mg 2.90
Li 0.3220 0.3220 0.8304  4 Li 2.71-2.80, 1 In 2.87, 1 Mg 2.90
Mg 0.6997 0.6997 0.6997  9 Li 2.90-3.11, 1 In 2.91
In 0.9509 0.9509 0.9509  9 Li 2.87-3.12, 1 Mg 2.91